The following is a DFT calculation (PBE with a Hubbard U) of TaCo2RhO6 after structural relaxation.

Results
Space-group type: No. 1
Total DFT energy (no corrections): -7.449 eV per atom
Theoretical density: 7.492 Mg/m³

abc: 5.2055 5.2155 5.5553
angles: 62.23 62.34 60.16
Last column: nearest neighbours and their distance in Å.
Atoms (fractional coordinates):
Ta1 0.0000 0.0000 0.0000  6 O 1.97-2.05
Co1 0.2928 0.2920 0.1223  4 O 2.02-2.27
Co2 0.7920 0.7987 0.6055  6 O 2.05-2.23
Rh1 0.4951 0.4960 0.5120  6 O 2.06-2.09
O1 0.1013 0.7346 0.7822  1 Ta 1.97, 1 Co 2.07, 1 Rh 2.09
O2 0.2217 0.6127 0.2766  2 Co 2.02-2.23, 1 Ta 2.05, 1 Rh 2.06
O3 0.3804 0.1028 0.7865  1 Ta 1.97, 1 Co 2.05, 1 Rh 2.08
O4 0.6152 0.8855 0.2780  2 Co 2.04-2.18, 1 Ta 2.05, 1 Rh 2.06
O5 0.7310 0.3799 0.7863  1 Ta 1.97, 1 Co 2.06, 1 Rh 2.08
O6 0.8852 0.2240 0.2767  2 Co 2.03-2.23, 1 Ta 2.05, 1 Rh 2.06